{
  "formula": "Mg3TiRh",
  "functional": "PBE",
  "state": "relaxed",
  "lattice": [[-1.838, 0.532, -4.664], [-4.677, -0.636, 1.771], [-0.402, 4.973, 0.726]],
  "species": ["Mg", "Mg", "Mg", "Rh", "Ti"],
  "frac_coords": [[0.000, 0.500, 0.000], [0.000, 0.000, 0.500], [0.500, 0.000, 0.000], [0.500, 0.500, 0.500], [0.000, 0.000, 0.000]],
  "relative_energy_ev_per_atom": 1.046,
  "spacegroup": "Pm-3m (221)",
  "e_form_ev_per_atom": 1.409,
  "mass_density_g_cm3": 2.899,
  "m_tot_mub_per_cell": 3.00
}